# KLiFeO2, optimized geometry, DFT PBE with a Hubbard U
# **Total DFT energy (no corrections)**: -0.1850 hartree per atom
# **V**: 335.0 Å³/cell
# **Total magnetization**: 16.0 Bohr magnetons per cell
data_KLiFeO2
_chemical_formula_sum 'K4 Li4 Fe4 O8'
_symmetry_space_group_name_H-M 'C m m e'
_symmetry_Int_Tables_number 67
_symmetry_space_group_name_Hall '-C 2a 2'
_cell_length_a 5.488
_cell_length_b 11.566
_cell_length_c 5.278
_cell_angle_alpha 90.00
_cell_angle_beta 90.00
_cell_angle_gamma 90.00
loop_
_atom_site_label
_atom_site_type_symbol
_atom_site_fract_x
_atom_site_fract_y
_atom_site_fract_z
K1 K 0.000 0.250 0.214
Li1 Li 0.000 0.000 0.500
Fe1 Fe 0.250 0.000 0.000
O1 O 0.000 0.085 0.783